Entry 1:
Density functional theory data (GGA-PBE) for an optimized crystal structure of SrUTe3Pd.

## Properties
DOS at the Fermi energy = 1.1807 states/eV per atom
M_tot = 0.359 μB/atom
energy relative to the elements, uncorrected = -928.9 meV per atom
total energy = -5.53 eV/atom

Lattice parameters (Å, degrees): 8.938 4.349 9.932 90.00 105.60 90.00
Fractional coordinates of all 12 atoms:
Sr1 0.188 0.250 0.261
Sr2 0.812 0.750 0.739
U1 0.319 0.750 0.832
U2 0.681 0.250 0.168
Te1 0.094 0.250 0.873
Te2 0.239 0.750 0.523
Te3 0.430 0.750 0.161
Te4 0.570 0.250 0.839
Te5 0.761 0.250 0.477
Te6 0.906 0.750 0.127
Pd1 0.091 0.250 0.595
Pd2 0.909 0.750 0.405



Entry 2:
Density functional theory data (GGA-PBE) for an optimized crystal structure of SrUTe4Pd.

## Properties
DOS at the Fermi energy = 1.1035 states/eV per atom
M_tot = 0.232 μB/atom
energy relative to the elements, uncorrected = -786.6 meV per atom
total energy = -5.18 eV/atom

Lattice parameters (Å, degrees): 7.662 6.282 9.238 90.00 109.56 90.00
Fractional coordinates of all 14 atoms:
Sr1 0.237 0.250 0.066
Sr2 0.763 0.750 0.934
U1 0.280 0.250 0.562
U2 0.720 0.750 0.438
Te1 0.029 0.506 0.721
Te2 0.029 0.994 0.721
Te3 0.425 0.750 0.601
Te4 0.446 0.750 0.110
Te5 0.554 0.250 0.890
Te6 0.575 0.250 0.399
Te7 0.971 0.006 0.279
Te8 0.971 0.494 0.279
Pd1 0.257 0.750 0.300
Pd2 0.743 0.250 0.700



Entry 3:
Density functional theory data (GGA-PBE) for an optimized crystal structure of SrYTe2Pd.

## Properties
DOS at the Fermi energy = 0.7592 states/eV per atom
M_tot = 0.000 μB/atom
energy relative to the elements, uncorrected = -551.4 meV per atom
total energy = -4.48 eV/atom

Lattice parameters (Å, degrees): 5.700 5.700 5.010 90.00 90.00 90.00
Fractional coordinates of all 5 atoms:
Sr1 0.000 0.000 0.000
Y1 0.500 0.500 0.000
Te1 0.000 0.500 0.500
Te2 0.500 0.000 0.500
Pd1 0.500 0.500 0.500



Entry 4:
Density functional theory data (GGA-PBE) for an optimized crystal structure of Sr2ThPd4.

## Properties
energy of formation = -0.415 eV per atom
DOS at the Fermi energy = 0.5861 states/eV per atom
M_tot = 0.000 μB/atom
total energy = -4.92 eV/atom

Lattice parameters (Å, degrees): 7.863 7.863 7.863 142.07 142.07 54.72
Fractional coordinates of all 7 atoms:
Sr1 0.223 0.223 0.000
Sr2 0.777 0.777 0.000
Th1 0.500 0.500 0.000
Pd1 0.104 0.604 0.500
Pd2 0.396 0.896 0.500
Pd3 0.604 0.104 0.500
Pd4 0.896 0.396 0.500



Entry 5:
Density functional theory data (GGA-PBE) for an optimized crystal structure of SrThPd4.

## Properties
energy of formation = -0.659 eV per atom
DOS at the Fermi energy = 0.1166 states/eV per atom
M_tot = 0.000 μB/atom
total energy = -5.64 eV/atom

Lattice parameters (Å, degrees): 5.557 5.557 5.557 60.00 60.00 60.00
Fractional coordinates of all 6 atoms:
Sr1 0.000 0.000 0.000
Th1 0.250 0.250 0.250
Pd1 0.126 0.625 0.625
Pd2 0.625 0.126 0.625
Pd3 0.625 0.625 0.126
Pd4 0.625 0.625 0.625



Entry 6:
Density functional theory data (GGA-PBE) for an optimized crystal structure of SrThPd2.

## Properties
energy of formation = -0.605 eV per atom
DOS at the Fermi energy = 0.4806 states/eV per atom
M_tot = 0.000 μB/atom
polymorph energy (0 for the lowest one) = 7.9 kJ/mol of atoms
total energy = -5.48 eV/atom

Lattice parameters (Å, degrees): 8.039 8.039 8.039 29.71 29.71 29.71
Fractional coordinates of all 4 atoms:
Sr1 0.000 0.000 0.000
Th1 0.829 0.829 0.829
Pd1 0.236 0.236 0.236
Pd2 0.424 0.424 0.424



Entry 7:
Density functional theory data (GGA-PBE) for an optimized crystal structure of SrTh4Pd15.

## Properties
energy of formation = -0.863 eV per atom
DOS at the Fermi energy = 0.1434 states/eV per atom
M_tot = 0.000 μB/atom
total energy = -6.33 eV/atom

Lattice parameters (Å, degrees): 4.229 4.229 21.064 90.00 90.00 90.00
Fractional coordinates of all 20 atoms:
Sr1 0.000 0.000 0.000
Th1 0.000 0.000 0.197
Th2 0.000 0.000 0.399
Th3 0.000 0.000 0.601
Th4 0.000 0.000 0.803
Pd1 0.000 0.500 0.105
Pd2 0.000 0.500 0.302
Pd3 0.000 0.500 0.500
Pd4 0.000 0.500 0.698
Pd5 0.000 0.500 0.895
Pd6 0.500 0.000 0.105
Pd7 0.500 0.000 0.302
Pd8 0.500 0.000 0.500
Pd9 0.500 0.000 0.698
Pd10 0.500 0.000 0.895
Pd11 0.500 0.500 0.000
Pd12 0.500 0.500 0.204
Pd13 0.500 0.500 0.402
Pd14 0.500 0.500 0.598
Pd15 0.500 0.500 0.796



Entry 8:
Density functional theory data (GGA-PBE) for an optimized crystal structure of SrThPd2.

## Properties
energy of formation = -0.551 eV per atom
DOS at the Fermi energy = 1.0338 states/eV per atom
M_tot = 0.000 μB/atom
polymorph energy (0 for the lowest one) = 13.2 kJ/mol of atoms
total energy = -5.42 eV/atom

Lattice parameters (Å, degrees): 5.176 5.176 5.176 60.00 60.00 60.00
Fractional coordinates of all 4 atoms:
Sr1 0.000 0.000 0.000
Th1 0.500 0.500 0.500
Pd1 0.250 0.250 0.250
Pd2 0.750 0.750 0.750



Entry 9:
Density functional theory data (GGA-PBE) for an optimized crystal structure of SrThPd6.

## Properties
energy of formation = -0.705 eV per atom
DOS at the Fermi energy = 0.5213 states/eV per atom
M_tot = 0.000 μB/atom
total energy = -5.74 eV/atom

Lattice parameters (Å, degrees): 4.232 4.232 8.484 90.00 90.00 90.00
Fractional coordinates of all 8 atoms:
Sr1 0.000 0.000 0.000
Th1 0.000 0.000 0.500
Pd1 0.000 0.500 0.261
Pd2 0.000 0.500 0.739
Pd3 0.500 0.000 0.261
Pd4 0.500 0.000 0.739
Pd5 0.500 0.500 0.000
Pd6 0.500 0.500 0.500



Entry 10:
Density functional theory data (GGA-PBE) for an optimized crystal structure of SrThPd.

## Properties
energy of formation = -0.361 eV per atom
DOS at the Fermi energy = 0.6688 states/eV per atom
M_tot = 0.000 μB/atom
polymorph energy (0 for the lowest one) = 0.0 kJ/mol of atoms
total energy = -5.13 eV/atom

Lattice parameters (Å, degrees): 3.980 5.438 8.666 90.00 90.00 90.00
Fractional coordinates of all 6 atoms:
Sr1 0.250 0.250 0.141
Sr2 0.750 0.750 0.859
Th1 0.250 0.750 0.464
Th2 0.750 0.250 0.536
Pd1 0.250 0.250 0.767
Pd2 0.750 0.750 0.233